Cs3VZn2F9 (PBE with a Hubbard U, optimized geometry); calculated volume = 240 Å³ per cell; VASP energy = -4.524 eV per atom
1.0
6.095 0.000 0.000
-3.047 5.278 0.000
0.000 0.000 7.469
F Zn V Cs
9 2 1 3
Direct
0.500 0.000 0.000 F
0.831 0.169 0.670 F
0.338 0.169 0.670 F
0.500 0.500 0.000 F
0.000 0.500 0.000 F
0.662 0.831 0.330 F
0.831 0.662 0.670 F
0.169 0.338 0.330 F
0.169 0.831 0.330 F
0.667 0.333 0.835 Zn
0.333 0.667 0.165 Zn
0.000 0.000 0.500 V
0.000 0.000 0.000 Cs
0.333 0.667 0.667 Cs
0.667 0.333 0.333 Cs